## SrNi2Cl (PBE)

Data for an optimized crystal structure of SrNi2Cl.

Unit cell a=6.6864 b=6.6864 c=6.6864 alpha=90.00 beta=90.00 gamma=90.00
Last column: nearest neighbours and their distance in Å.
Space group Fm-3m (No. 225)
One atom of each set of equivalent atoms:
Sr 0.0000 0.0000 0.0000 [4 per cell]  8 Ni 2.90
Ni 0.2500 0.2500 0.2500 [8 per cell]  4 Sr 2.90, 4 Cl 2.90
Cl 0.0000 0.0000 0.5000 [4 per cell]  8 Ni 2.90

Summary:
- Energy relative to the lowest polymorph listed for this composition: 813 meV per atom
- Energy relative to the elements, uncorrected: 0.447 eV per atom

## NdNpSc (PBE)

Data for an optimized crystal structure of NdNpSc.

Unit cell a=15.9171 b=3.4962 c=5.8292 alpha=90.00 beta=96.44 gamma=90.00
Last column: nearest neighbours and their distance in Å.
Space group C2/m (No. 12)
One atom of each set of equivalent atoms:
Nd 0.1024 0.0000 0.3477 [4 per cell]  3 Np 3.37-3.52, 6 Sc 3.39-3.51, 2 Nd 3.50
Np 0.2420 0.0000 0.8600 [4 per cell]  2 Np 2.39
Sc 0.0831 0.5000 0.8464 [4 per cell]  3 Np 3.07-3.10, 1 Sc 3.36, 4 Nd 3.39-3.44

Summary:
- Calculated formation energy: 0.71 eV/f.u.

## Mg2NiOs (PBE)

Data for an optimized crystal structure of Mg2NiOs.

Unit cell a=2.6598 b=4.2513 c=5.3325 alpha=90.00 beta=100.54 gamma=90.00
Last column: nearest neighbours and their distance in Å.
Space group P2/m (No. 10)
One atom of each set of equivalent atoms:
Mg 0.2022 0.0000 0.2523 [2 per cell]  2 Ni 2.61, 4 Mg 2.66-2.82, 2 Os 2.71
Ni 0.0000 0.5000 0.5000 [1 per cell]  4 Mg 2.61, 2 Ni 2.66, 2 Os 2.75
Os 0.5000 0.5000 0.0000 [1 per cell]  2 Os 2.66, 4 Mg 2.71, 2 Ni 2.75

Summary:
- Energy relative to the lowest polymorph listed for this composition: 115 meV per atom
- Calculated formation energy: 0.66 eV/f.u.

## SrTlHg2 (PBE)

Data for an optimized crystal structure of SrTlHg2.

Unit cell a=5.4858 b=7.5641 c=5.5480 alpha=90.00 beta=90.00 gamma=90.00
Last column: nearest neighbours and their distance in Å.
Space group Pmmn (No. 59, origin choice 2)
One atom of each set of equivalent atoms:
Sr 0.2500 0.2500 0.2176 [2 per cell]  8 Hg 3.35-3.36, 2 Tl 3.70
Tl 0.2500 0.7500 0.2296 [2 per cell]  8 Hg 3.31-3.41, 2 Sr 3.70
Hg 0.2500 0.0001 0.7191 [4 per cell]  4 Tl 3.31-3.41, 4 Sr 3.35-3.36, 2 Hg 3.67

Summary:
- Energy relative to the lowest polymorph listed for this composition: 1 meV per atom
- Calculated formation energy: -1.50 eV/f.u.

## Re4AsSe8 (PBE)

Data for an optimized crystal structure of Re4AsSe8.

Unit cell a=6.6975 b=6.8237 c=7.8923 alpha=76.00 beta=71.33 gamma=61.08
Last column: nearest neighbours and their distance in Å.
Space group P1 (No. 1)
One atom of each set of equivalent atoms:
Re 0.0000 0.0000 0.0000 [1 per cell]  6 Se 2.49-2.62, 1 Re 2.77
Re 0.0244 0.5860 0.9918 [1 per cell]  6 Se 2.49-2.63, 1 Re 2.77
Re 0.4439 0.6141 0.9871 [1 per cell]  6 Se 2.46-2.67
Re 0.5766 0.9733 0.0070 [1 per cell]  6 Se 2.45-2.66
As 0.9408 0.1095 0.4893 [1 per cell]  3 Se 2.62-2.93
Se 0.2326 0.7744 0.7368 [1 per cell]  3 Re 2.50-2.52
Se 0.2488 0.2174 0.8285 [1 per cell]  3 Re 2.60-2.63
Se 0.2593 0.8687 0.2239 [1 per cell]  3 Re 2.46-2.58, 1 As 2.66
Se 0.3065 0.3323 0.1886 [1 per cell]  3 Re 2.52-2.66
Se 0.7181 0.2505 0.8088 [1 per cell]  3 Re 2.49-2.67, 1 As 2.62
Se 0.7646 0.7179 0.7721 [1 per cell]  3 Re 2.45-2.56
Se 0.7789 0.3654 0.1646 [1 per cell]  3 Re 2.61-2.66
Se 0.7905 0.8144 0.2519 [1 per cell]  3 Re 2.49-2.50

Summary:
- Energy relative to the elements, uncorrected: -0.179 eV per atom

## Er2GaRuC (PBE)

Data for an optimized crystal structure of Er2GaRuC.

Unit cell a=4.8815 b=4.8815 c=3.9052 alpha=90.00 beta=90.00 gamma=90.00
Last column: nearest neighbours and their distance in Å.
Space group P4/mmm (No. 123)
One atom of each set of equivalent atoms:
Er 0.0000 0.5000 0.0000 [2 per cell]  2 C 2.44
Ga 0.0000 0.0000 0.5000 [1 per cell]  8 Er 3.13, 4 Ru 3.45
Ru 0.5000 0.5000 0.5000 [1 per cell]  2 C 1.95
C 0.5000 0.5000 0.0000 [1 per cell]  2 Ru 1.95

Summary:
- Calculated formation energy: -2.36 eV/f.u.

## LiZrBr2 (PBE)

Data for an optimized crystal structure of LiZrBr2.

Unit cell a=6.9963 b=8.3707 c=3.4363 alpha=90.00 beta=108.79 gamma=90.00
Last column: nearest neighbours and their distance in Å.
Space group C2/m (No. 12)
One atom of each set of equivalent atoms:
Li 0.0000 0.0000 0.0000 [2 per cell]  4 Br 2.73
Zr 0.0000 0.5000 0.0000 [2 per cell]  4 Br 2.73
Br 0.2500 0.2500 0.0000 [4 per cell]  2 Zr 2.73, 2 Li 2.73

Summary:
- Energy relative to the lowest polymorph listed for this composition: 261 meV per atom
- Energy relative to the elements, uncorrected: -0.575 eV per atom

## Pr2SmDy2 (PBE)

Data for an optimized crystal structure of Pr2SmDy2.

Unit cell a=6.3069 b=3.6457 c=14.8472 alpha=90.00 beta=98.25 gamma=90.00
Last column: nearest neighbours and their distance in Å.
Space group C2/m (No. 12)
One atom of each set of equivalent atoms:
Pr 0.1322 0.0000 0.3943 [4 per cell]  3 Dy 3.60, 9 Pr 3.64-3.76
Sm 0.0000 0.0000 0.0000 [2 per cell]  6 Dy 3.56, 6 Sm 3.64-3.65
Dy 0.1013 0.5000 0.8046 [4 per cell]  3 Sm 3.56, 3 Pr 3.60, 6 Dy 3.64-3.65

Summary:
- Energy relative to the lowest polymorph listed for this composition: 0 meV per atom
- Calculated formation energy: 0.03 eV/f.u.

## KRbOs2 (PBE)

Data for an optimized crystal structure of KRbOs2.

Unit cell a=7.8269 b=7.8269 c=7.8269 alpha=90.00 beta=90.00 gamma=90.00
Last column: nearest neighbours and their distance in Å.
Space group Fm-3m (No. 225)
One atom of each set of equivalent atoms:
K 0.0000 0.0000 0.0000 [4 per cell]  8 Os 3.39
Rb 0.0000 0.0000 0.5000 [4 per cell]  8 Os 3.39
Os 0.2500 0.2500 0.2500 [8 per cell]  4 K 3.39, 4 Rb 3.39

Summary:
- Energy relative to the lowest polymorph listed for this composition: 599 meV per atom
- Calculated formation energy: 10.81 eV/f.u.

## Y3Ti5N12 (PBE)

Data for an optimized crystal structure of Y3Ti5N12.

Unit cell a=12.6971 b=12.6971 c=12.6971 alpha=90.00 beta=90.00 gamma=90.00
Last column: nearest neighbours and their distance in Å.
Space group Ia-3d (No. 230)
One atom of each set of equivalent atoms:
Y 0.0000 0.2500 0.1250 [24 per cell]  8 N 2.45-2.50
Ti 0.0000 0.0000 0.0000 [16 per cell]  6 N 2.07
Ti 0.0000 0.2500 0.3750 [24 per cell]  4 N 1.90
N 0.0295 0.0573 0.6494 [96 per cell]  2 Ti 1.90-2.07

Summary:
- Energy relative to the elements, uncorrected: -0.766 eV per atom

## Be2OsPt (PBE)

Data for an optimized crystal structure of Be2OsPt.

Unit cell a=2.8037 b=3.8301 c=8.6854 alpha=90.00 beta=90.00 gamma=90.00
Last column: nearest neighbours and their distance in Å.
Space group Imm2 (No. 44)
One atom of each set of equivalent atoms:
Be 0.0000 0.0000 0.0000 [2 per cell]  4 Pt 2.39, 2 Be 2.44
Be 0.0000 0.5000 0.2694 [2 per cell]  4 Os 2.37, 2 Be 2.44, 2 Pt 2.50
Os 0.0000 0.5000 0.7671 [2 per cell]  4 Be 2.37
Pt 0.0000 0.0000 0.5311 [2 per cell]  6 Be 2.39-2.50

Summary:
- Calculated formation energy: -0.68 eV/f.u.

## PuAlZnGe (PBE)

Data for an optimized crystal structure of PuAlZnGe.

Unit cell a=6.7343 b=6.7343 c=6.7343 alpha=90.00 beta=90.00 gamma=90.00
Last column: nearest neighbours and their distance in Å.
Space group F-43m (No. 216)
One atom of each set of equivalent atoms:
Pu 0.0000 0.0000 0.0000 [4 per cell]  4 Ge 2.92, 4 Zn 2.92
Al 0.0000 0.0000 0.5000 [4 per cell]  4 Ge 2.92, 4 Zn 2.92
Zn 0.2500 0.2500 0.2500 [4 per cell]  4 Al 2.92, 4 Pu 2.92
Ge 0.2500 0.2500 0.7500 [4 per cell]  4 Al 2.92, 4 Pu 2.92

Summary:
- Calculated formation energy: -0.64 eV/f.u.

Short version: VASP energy = -3.33; -7.78; -4.89; -1.54; -6.51; -6.60; -4.03; -4.69; -3.43; -8.70; -6.35; -6.15 eV per atom, in the order given.
Short version: N(E_F) = 6.164; 24.413; 3.084; 4.476; 4.583; 2.628; 4.837; 12.882; 26.050; 114.423; 5.031; 32.041 states/eV per cell, in the order given.